A plane-wave DFT calculation with PBE was carried out for Nb3PW after structural relaxation.

abc: 4.5653 4.5653 4.5653
angles: 90.00 90.00 90.00
Fractional positions:
P: 0.0000 0.0000 0.0000
Nb: 0.0000 0.5000 0.0000
Nb: 0.0000 0.0000 0.5000
Nb: 0.5000 0.0000 0.0000
W: 0.5000 0.5000 0.5000

## Properties
space-group type = No. 221
total magnetization = 0.00 μB/cell
calculated density = 8.61 g/cm3
excess energy over the best structure of this formula in the dataset = 0 meV/atom
formation energy from the elements = 2.478 eV/f.u.

A plane-wave DFT calculation with PBE was carried out for KAsPb after structural relaxation.

abc: 4.2775 4.2756 6.9854
angles: 107.84 90.00 120.01
Fractional positions:
K: 0.5284 0.0568 0.3396
As: 0.3128 0.6257 0.6921
Pb: 0.7183 0.4366 0.9081

## Properties
space-group type = No. 160
total magnetization = 0.00 μB/cell
calculated density = 5.16 g/cm3
formation energy from the elements = -0.964 eV/f.u.

A plane-wave DFT calculation with PBE was carried out for ZrNb2C after structural relaxation.

abc: 3.1270 3.1270 8.3711
angles: 79.24 79.24 60.00
Last column: magnetic moment on the atom in μB.
Fractional positions:
Nb: 0.1162 0.1162 0.6514  0.09
Nb: 0.8838 0.8838 0.3486  0.09
C: 0.5000 0.5000 0.5000  0.00
Zr: 0.0000 0.0000 0.0000  0.15

## Properties
space-group type = No. 166
total magnetization = 0.40 μB/cell
calculated density = 6.93 g/cm3
formation energy from the elements = -0.150 eV/f.u.

A plane-wave DFT calculation with PBE was carried out for Na2VTe4 after structural relaxation.

abc: 5.3653 5.3653 8.6795
angles: 72.00 72.00 90.00
Last column: magnetic moment on the atom in μB.
Fractional positions:
Na: 0.3669 0.3669 0.2662  0.00
Na: 0.6331 0.6331 0.7338  0.00
Te: 0.1706 0.1706 0.6587  -0.11
Te: 0.8294 0.8294 0.3413  -0.11
Te: 0.0000 0.5000 0.0000  -0.10
Te: 0.5000 0.0000 0.0000  -0.10
V: 0.0000 0.0000 0.0000  1.22

## Properties
space-group type = No. 139
total magnetization = 0.66 μB/cell
calculated density = 4.49 g/cm3
raw formation energy = -1.67 eV per formula unit

A plane-wave DFT calculation with PBE was carried out for CeTm5 after structural relaxation.

abc: 4.9392 4.9467 7.8071
angles: 108.47 90.00 90.00
Last column: magnetic moment on the atom in μB.
Fractional positions:
Tm: 0.5000 0.8351 0.6702  0.02
Tm: 0.0000 0.6675 0.3350  0.01
Tm: 0.5000 0.5000 0.0000  0.11
Tm: 0.0000 0.3325 0.6650  0.01
Tm: 0.5000 0.1649 0.3298  0.02
Ce: 0.0000 0.0000 0.0000  0.73

## Properties
space-group type = No. 65
total magnetization = 1.08 μB/cell
calculated density = 9.04 g/cm3
excess energy over the best structure of this formula in the dataset = 0 meV/atom
formation energy from the elements = 0.338 eV/f.u.

A plane-wave DFT calculation with PBE was carried out for NaPrAsAu after structural relaxation.

abc: 5.1378 5.1378 5.1378
angles: 60.00 60.00 60.00
Fractional positions:
Pr: 0.7500 0.7500 0.7500
Na: 0.2500 0.2500 0.2500
As: 0.0000 0.0000 0.0000
Au: 0.5000 0.5000 0.5000

## Properties
space-group type = No. 216
total magnetization = 0.00 μB/cell
calculated density = 7.55 g/cm3
formation energy from the elements = -3.022 eV/f.u.

A plane-wave DFT calculation with PBE was carried out for HoMg3Zn4 after structural relaxation.

abc: 4.6281 7.1187 9.2558
angles: 90.00 90.00 90.00
Fractional positions:
Zn: 0.5000 0.7611 0.0000
Zn: 0.5000 0.7611 0.5000
Zn: 0.5000 0.2389 0.0000
Zn: 0.5000 0.2389 0.5000
Zn: 0.0004 0.7610 0.7500
Zn: 0.9996 0.7610 0.2500
Zn: 0.9996 0.2390 0.2500
Zn: 0.0004 0.2390 0.7500
Mg: 0.0000 0.0000 0.0000
Mg: 0.0000 0.0000 0.5000
Mg: 0.5004 0.0000 0.7500
Mg: 0.4996 0.0000 0.2500
Mg: 0.5002 0.5000 0.7500
Mg: 0.4998 0.5000 0.2500
Ho: 0.0000 0.5000 0.0000
Ho: 0.0000 0.5000 0.5000

## Properties
space-group type = No. 123
total magnetization = 0.00 μB/cell
calculated density = 5.44 g/cm3
formation energy from the elements = -1.457 eV/f.u.

A plane-wave DFT calculation with PBE was carried out for CrAgW4 after structural relaxation.

abc: 5.2652 5.2652 5.2652
angles: 60.00 60.00 60.00
Last column: magnetic moment on the atom in μB.
Fractional positions:
Cr: 0.0000 0.0000 0.0000  2.40
Ag: 0.7500 0.7500 0.7500  -0.03
W: 0.3757 0.8730 0.3757  -0.18
W: 0.8730 0.3757 0.3757  -0.18
W: 0.3757 0.3757 0.8730  -0.18
W: 0.3757 0.3757 0.3757  -0.18

## Properties
space-group type = No. 216
total magnetization = 1.60 μB/cell
calculated density = 14.40 g/cm3
formation energy from the elements = 4.401 eV/f.u.